A relaxed Nd5BiPt2 crystal. Source: Alexandria via LeMat-Bulk, functional PBE.

Values from the calculation:
**N(E_F)**: 8.5 states/eV/f.u.
**ΔH_f (0 K)**: -840 meV per atom
**Total magnetization**: 0.00 μB per cell

The structure in POSCAR format:
```
Nd5BiPt2
1.0
-5.598 5.852 0.692
-4.374 -3.487 -5.897
1.575 -5.013 7.397
Nd Bi Pt
10 2 4
Direct
0.520 0.707 0.727
0.793 0.980 0.273
0.000 0.000 0.000
0.500 0.500 0.000
0.207 0.020 0.727
0.707 0.207 0.727
0.020 0.520 0.727
0.293 0.793 0.273
0.980 0.480 0.273
0.480 0.293 0.273
0.750 0.750 0.500
0.250 0.250 0.500
0.138 0.362 0.000
0.638 0.138 0.000
0.362 0.862 0.000
0.862 0.638 0.000
```

---

A relaxed NdBiPt5 crystal. Source: Alexandria via LeMat-Bulk, functional PBE.

Values from the calculation:
**N(E_F)**: 5.5 states/eV/f.u.
**ΔH_f (0 K)**: -533 meV per atom
**Total magnetization**: 0.00 μB per cell

The structure in POSCAR format:
```
NdBiPt5
1.0
5.570 0.000 0.000
0.000 8.953 0.000
0.000 0.000 11.100
Nd Bi Pt
4 4 20
Direct
0.250 0.258 0.949
0.750 0.242 0.449
0.250 0.758 0.551
0.750 0.742 0.051
0.250 0.863 0.854
0.750 0.637 0.354
0.250 0.363 0.646
0.750 0.137 0.146
0.250 0.591 0.024
0.750 0.909 0.524
0.250 0.091 0.476
0.750 0.409 0.976
0.750 0.333 0.734
0.250 0.167 0.234
0.750 0.833 0.766
0.250 0.667 0.266
0.250 0.914 0.093
0.750 0.586 0.593
0.250 0.414 0.407
0.750 0.086 0.907
0.997 0.421 0.188
0.003 0.079 0.688
0.503 0.921 0.312
0.497 0.579 0.812
0.003 0.579 0.812
0.997 0.921 0.312
0.497 0.079 0.688
0.503 0.421 0.188
```

---

A relaxed Nd3Si2BiPt9 crystal. Source: Alexandria via LeMat-Bulk, functional PBE.

Values from the calculation:
**N(E_F)**: 6.4 states/eV/f.u.
**Total magnetization**: 0.00 μB per cell
**Energy relative to the elements, uncorrected**: -765 meV/atom

The structure in POSCAR format:
```
Nd3Si2BiPt9
1.0
5.747 0.000 0.000
-2.874 4.977 0.000
0.000 0.000 11.747
Nd Si Bi Pt
3 2 1 9
Direct
0.333 0.667 0.770
0.000 0.000 0.000
0.667 0.333 0.230
0.333 0.667 0.158
0.667 0.333 0.842
0.000 0.000 0.500
0.836 0.164 0.697
0.836 0.672 0.697
0.328 0.164 0.697
0.672 0.836 0.303
0.164 0.328 0.303
0.164 0.836 0.303
0.500 0.000 0.000
0.000 0.500 0.000
0.500 0.500 0.000
```

---

A relaxed NdPuBi2 crystal. Source: Alexandria via LeMat-Bulk, functional PBE.

Values from the calculation:
**N(E_F)**: 15.9 states/eV/f.u.
**ΔH_f (0 K)**: -633 meV per atom
**E above lowest polymorph**: 0 meV/atom
**Total magnetization**: 5.12 μB per cell

The structure in POSCAR format:
```
NdPuBi2
1.0
-3.716 1.693 2.060
-3.528 -2.745 0.970
0.595 -1.860 7.679
Nd Bi Pu
1 2 1
Direct
0.000 0.000 0.000
0.752 0.752 0.743
0.248 0.248 0.257
0.500 0.500 0.500
```

---

A relaxed Nd2PuBi crystal. Source: Alexandria via LeMat-Bulk, functional PBE.

Values from the calculation:
**N(E_F)**: 11.2 states/eV/f.u.
**ΔH_f (0 K)**: -256 meV per atom
**E above lowest polymorph**: 61 meV/atom
**Total magnetization**: 6.89 μB per cell

The structure in POSCAR format:
```
Nd2PuBi
1.0
-2.492 3.045 -1.297
-3.308 -2.340 0.863
-0.173 2.745 6.779
Nd Bi Pu
2 1 1
Direct
0.000 0.000 0.766
0.000 0.000 0.234
0.500 0.500 0.000
0.500 0.500 0.500
```

---

A relaxed Nd2PuBi crystal. Source: Alexandria via LeMat-Bulk, functional PBE.

Values from the calculation:
**N(E_F)**: 10.9 states/eV/f.u.
**ΔH_f (0 K)**: 98 meV per atom
**E above lowest polymorph**: 415 meV/atom
**Total magnetization**: 6.16 μB per cell

The structure in POSCAR format:
```
Nd2PuBi
1.0
3.495 0.000 0.000
1.748 3.027 0.000
1.748 1.009 12.266
Nd Bi Pu
2 1 1
Direct
0.090 0.090 0.729
0.910 0.910 0.271
0.500 0.500 0.500
0.000 0.000 0.000
```

---

A relaxed Nd5PuBi4 crystal. Source: Alexandria via LeMat-Bulk, functional PBE.

Values from the calculation:
**N(E_F)**: 20.9 states/eV/f.u.
**ΔH_f (0 K)**: -454 meV per atom
**Total magnetization**: 5.79 μB per cell

The structure in POSCAR format:
```
Nd5PuBi4
1.0
4.514 0.000 0.000
0.000 8.769 -0.667
-2.257 -1.952 9.602
Nd Pu Bi
5 1 4
Direct
0.823 0.647 0.646
0.837 0.179 0.674
0.163 0.821 0.326
0.500 0.500 0.000
0.177 0.353 0.354
0.500 0.000 0.000
0.331 0.912 0.663
0.992 0.747 0.983
0.669 0.088 0.337
0.008 0.253 0.017
```

---

A relaxed Nd3PuBi4 crystal. Source: Alexandria via LeMat-Bulk, functional PBE.

Values from the calculation:
**N(E_F)**: 19.6 states/eV/f.u.
**ΔH_f (0 K)**: -785 meV per atom
**E above lowest polymorph**: 3 meV/atom
**Total magnetization**: 5.11 μB per cell

The structure in POSCAR format:
```
Nd3PuBi4
1.0
6.497 0.000 0.000
0.000 6.497 0.000
0.000 0.000 6.497
Nd Bi Pu
3 4 1
Direct
0.000 0.500 0.500
0.500 0.000 0.500
0.500 0.500 0.000
0.500 0.000 0.000
0.000 0.500 0.000
0.000 0.000 0.500
0.500 0.500 0.500
0.000 0.000 0.000
```

---

A relaxed NdPuBi2 crystal. Source: Alexandria via LeMat-Bulk, functional PBE.

Values from the calculation:
**N(E_F)**: 12.9 states/eV/f.u.
**ΔH_f (0 K)**: -497 meV per atom
**E above lowest polymorph**: 136 meV/atom
**Total magnetization**: 5.92 μB per cell

The structure in POSCAR format:
```
NdPuBi2
1.0
5.572 0.000 0.000
2.786 4.825 0.000
2.786 1.608 4.549
Nd Bi Pu
1 2 1
Direct
0.500 0.500 0.500
0.250 0.250 0.250
0.750 0.750 0.750
0.000 0.000 0.000
```

---

A relaxed Nd3PuBi4 crystal. Source: Alexandria via LeMat-Bulk, functional PBE.

Values from the calculation:
**N(E_F)**: 18.3 states/eV/f.u.
**ΔH_f (0 K)**: -788 meV per atom
**E above lowest polymorph**: 0 meV/atom
**Total magnetization**: 5.11 μB per cell

The structure in POSCAR format:
```
Nd3PuBi4
1.0
-0.304 -2.278 3.981
-4.143 -5.751 -3.607
7.762 -1.693 -0.377
Nd Pu Bi
3 1 4
Direct
0.000 0.000 0.500
0.500 0.500 0.500
0.000 0.500 0.000
0.500 0.000 0.000
0.000 0.246 0.246
0.500 0.752 0.248
0.000 0.754 0.754
0.500 0.248 0.752
```

---

A relaxed Nd2PuBi crystal. Source: Alexandria via LeMat-Bulk, functional PBE.

Values from the calculation:
**N(E_F)**: 10.7 states/eV/f.u.
**ΔH_f (0 K)**: -317 meV per atom
**E above lowest polymorph**: 0 meV/atom
**Total magnetization**: 6.75 μB per cell

The structure in POSCAR format:
```
Nd2PuBi
1.0
4.679 0.000 0.000
0.000 5.079 0.000
0.000 0.000 5.079
Nd Bi Pu
2 1 1
Direct
0.000 0.000 0.500
0.000 0.500 0.000
0.500 0.000 0.000
0.500 0.500 0.500
```

---

A relaxed NdPuBi2 crystal. Source: Alexandria via LeMat-Bulk, functional PBE.

Values from the calculation:
**N(E_F)**: 14.5 states/eV/f.u.
**ΔH_f (0 K)**: -536 meV per atom
**E above lowest polymorph**: 97 meV/atom
**Total magnetization**: 5.06 μB per cell

The structure in POSCAR format:
```
NdPuBi2
1.0
-0.718 -4.419 0.798
1.360 -3.108 -3.028
7.053 -2.978 2.810
Nd Pu Bi
1 1 2
Direct
0.498 0.498 0.507
0.669 0.669 0.994
0.080 0.080 0.760
0.253 0.253 0.240
```

---

A relaxed NdPuBi2 crystal. Source: Alexandria via LeMat-Bulk, functional PBE.

Values from the calculation:
**N(E_F)**: 11.1 states/eV/f.u.
**ΔH_f (0 K)**: -511 meV per atom
**E above lowest polymorph**: 122 meV/atom
**Total magnetization**: 5.87 μB per cell

The structure in POSCAR format:
```
NdPuBi2
1.0
3.762 0.000 0.000
0.000 3.762 0.000
0.000 0.000 8.526
Nd Bi Pu
1 2 1
Direct
0.500 0.500 0.000
0.000 0.000 0.747
0.000 0.000 0.253
0.500 0.500 0.500
```

---

A relaxed NdPuBi2 crystal. Source: Alexandria via LeMat-Bulk, functional PBE.

Values from the calculation:
**N(E_F)**: 17.0 states/eV/f.u.
**ΔH_f (0 K)**: -527 meV per atom
**E above lowest polymorph**: 106 meV/atom
**Total magnetization**: 5.20 μB per cell

The structure in POSCAR format:
```
NdPuBi2
1.0
4.521 0.000 0.000
-2.261 3.916 0.002
0.000 -0.005 7.921
Nd Pu Bi
1 1 2
Direct
0.000 0.500 0.500
0.000 0.500 0.000
0.667 0.833 0.755
0.333 0.167 0.245
```

---

A relaxed NdPuBi2 crystal. Source: Alexandria via LeMat-Bulk, functional PBE.

Values from the calculation:
**N(E_F)**: 12.3 states/eV/f.u.
**ΔH_f (0 K)**: -552 meV per atom
**E above lowest polymorph**: 81 meV/atom
**Total magnetization**: 5.74 μB per cell

The structure in POSCAR format:
```
NdPuBi2
1.0
-2.336 -2.480 -0.314
4.160 -3.642 -2.190
1.253 -1.878 5.502
Nd Bi Pu
1 2 1
Direct
0.500 0.000 0.000
0.000 0.000 0.500
0.000 0.500 0.000
0.500 0.500 0.500
```

---

A relaxed NdPu2Bi3 crystal. Source: Alexandria via LeMat-Bulk, functional PBE.

Values from the calculation:
**N(E_F)**: 29.9 states/eV/f.u.
**ΔH_f (0 K)**: -524 meV per atom
**Total magnetization**: 10.23 μB per cell

The structure in POSCAR format:
```
NdPu2Bi3
1.0
-3.973 1.972 1.077
-3.054 -5.583 -1.044
4.433 0.077 6.539
Nd Pu Bi
1 2 3
Direct
0.500 0.000 0.000
0.165 0.665 0.331
0.835 0.335 0.669
0.500 0.500 0.000
0.171 0.171 0.341
0.829 0.829 0.659
```

---

A relaxed NdPuBi crystal. Source: Alexandria via LeMat-Bulk, functional PBE.

Values from the calculation:
**N(E_F)**: 9.7 states/eV/f.u.
**ΔH_f (0 K)**: -312 meV per atom
**Total magnetization**: 6.74 μB per cell

The structure in POSCAR format:
```
NdPuBi
1.0
4.194 0.000 0.000
0.000 4.194 0.000
-2.097 -2.097 5.135
Nd Bi Pu
1 1 1
Direct
0.273 0.273 0.546
0.617 0.617 0.235
0.960 0.960 0.920
```

---

A relaxed NdPuBi4Rh2 crystal. Source: Alexandria via LeMat-Bulk, functional PBE.

Values from the calculation:
**N(E_F)**: 15.7 states/eV/f.u.
**ΔH_f (0 K)**: -261 meV per atom
**Total magnetization**: 6.07 μB per cell

The structure in POSCAR format:
```
NdPuBi4Rh2
1.0
4.798 0.000 0.000
0.000 4.798 0.000
0.000 0.000 9.823
Nd Pu Bi Rh
1 1 4 2
Direct
0.000 0.000 0.500
0.000 0.000 0.000
0.000 0.500 0.233
0.500 0.000 0.767
0.500 0.000 0.233
0.000 0.500 0.767
0.500 0.500 0.368
0.500 0.500 0.632
```

---

A relaxed NdPuBiSb crystal. Source: Alexandria via LeMat-Bulk, functional PBE.

Values from the calculation:
**N(E_F)**: 15.1 states/eV/f.u.
**Total magnetization**: 5.07 μB per cell
**Energy relative to the elements, uncorrected**: -760 meV/atom

The structure in POSCAR format:
```
NdPuBiSb
1.0
4.523 0.000 0.000
2.261 3.917 0.000
2.261 1.306 7.386
Nd Pu Bi Sb
1 1 1 1
Direct
0.696 0.696 0.911
0.192 0.192 0.425
0.942 0.942 0.175
0.447 0.447 0.660
```

---

A relaxed NdPuSc2Bi4 crystal. Source: Alexandria via LeMat-Bulk, functional PBE.

Values from the calculation:
**N(E_F)**: 17.8 states/eV/f.u.
**ΔH_f (0 K)**: -638 meV per atom
**Total magnetization**: 5.21 μB per cell

The structure in POSCAR format:
```
NdPuSc2Bi4
1.0
4.428 0.000 0.000
0.000 7.678 0.138
0.000 -2.675 7.152
Nd Pu Sc Bi
1 1 2 4
Direct
0.000 0.000 0.000
0.500 0.500 0.000
0.500 0.000 0.500
0.000 0.500 0.500
0.500 0.260 0.272
0.500 0.740 0.728
0.000 0.246 0.730
0.000 0.754 0.270
```